VASP calculation (PBE) on crystalline PuTl2F11 at its relaxed geometry.

a = 8.5767 Å, b = 8.5767 Å, c = 8.5767 Å
α = 124.89°, β = 104.69°, γ = 100.05°
Closest atoms and distances in Å follow each position.
Positions (direct):
Pu  0.2500  0.2500  0.0000  8 F 2.17-2.22
Pu  0.7500  0.7500  0.0000  8 F 2.17-2.22
Tl  0.1794  0.6342  0.8136  7 F 2.13-2.33
Tl  0.3206  0.1342  0.4548  7 F 2.13-2.33
Tl  0.6794  0.8658  0.5452  7 F 2.13-2.33
Tl  0.8206  0.3658  0.1864  7 F 2.13-2.33
F  0.0000  0.5000  0.5000  2 Tl 2.16
F  0.0185  0.9432  0.2465  1 Pu 2.17, 1 Tl 2.33
F  0.0758  0.3682  0.1502  1 Pu 2.22, 1 Tl 2.29
F  0.1966  0.4432  0.9247  1 Pu 2.17, 1 Tl 2.33
F  0.2124  0.3614  0.5738  2 Tl 2.13-2.19
F  0.2180  0.9256  0.8498  1 Pu 2.22, 1 Tl 2.29
F  0.2820  0.1318  0.7076  1 Pu 2.22, 1 Tl 2.29
F  0.2876  0.8614  0.1491  2 Tl 2.13-2.19
F  0.3034  0.2281  0.2465  1 Pu 2.17, 1 Tl 2.33
F  0.4242  0.5744  0.2924  1 Pu 2.22, 1 Tl 2.29
F  0.4815  0.7281  0.9247  1 Pu 2.17, 1 Tl 2.33
F  0.5000  0.0000  0.5000  2 Tl 2.16
F  0.5185  0.2719  0.0753  1 Pu 2.17, 1 Tl 2.33
F  0.5758  0.4256  0.7076  1 Pu 2.22, 1 Tl 2.29
F  0.6966  0.7719  0.7535  1 Pu 2.17, 1 Tl 2.33
F  0.7124  0.1386  0.8509  2 Tl 2.13-2.19
F  0.7180  0.8682  0.2924  1 Pu 2.22, 1 Tl 2.29
F  0.7820  0.0744  0.1502  1 Pu 2.22, 1 Tl 2.29
F  0.7876  0.6386  0.4262  2 Tl 2.13-2.19
F  0.8034  0.5568  0.0753  1 Pu 2.17, 1 Tl 2.33
F  0.9242  0.6318  0.8498  1 Pu 2.22, 1 Tl 2.29
F  0.9815  0.0568  0.7535  1 Pu 2.17, 1 Tl 2.33

Results
- E_form (uncorrected) (meV per atom) = -2273.3